Record 1
Density functional theory data (GGA-PBE) for a relaxed TiSi2Os crystal.

Volume   61.2 Å³/f.u.
ΔE_f (raw)   -0.01 eV per atom
E_tot   -30.01 eV per formula unit
Theoretical density   7987 kg/m³

abc: 3.719 3.719 9.230
angles: 78.38 78.38 90.00
Fractional coordinates of all 8 atoms:
Os 0.000 0.000 0.000
Si 0.875 0.882 0.750
Ti 0.500 0.500 0.000
Si 0.632 0.125 0.250
Si 0.118 0.625 0.250
Os 0.750 0.250 0.500
Ti 0.250 0.750 0.500
Si 0.375 0.368 0.750

***

Record 2
Density functional theory data (GGA-PBE) for a relaxed CsPaP2S8 crystal.

Volume   348.9 Å³/f.u.
ΔE_f (raw)   -0.72 eV per atom
E_tot   -62.80 eV per formula unit
Theoretical density   3248 kg/m³

abc: 6.251 6.251 10.924
angles: 73.37 73.37 60.00
Fractional coordinates of all 12 atoms:
S 0.292 0.965 0.149
S 0.197 0.197 0.409
Cs 0.500 0.500 0.500
S 0.594 0.292 0.149
S 0.803 0.803 0.591
P 0.740 0.740 0.781
P 0.260 0.260 0.219
S 0.965 0.594 0.149
Pa 0.000 0.000 0.000
S 0.406 0.708 0.851
S 0.035 0.406 0.851
S 0.708 0.035 0.851

***

Record 3
Density functional theory data (GGA-PBE) for a relaxed Tb3Hg crystal.

Volume   116.7 Å³/f.u.
E_tot   -15.12 eV per formula unit
Energy of formation from the pure elements   -0.23 eV/atom
Theoretical density   9638 kg/m³

abc: 3.805 5.362 6.598
angles: 113.98 106.76 90.00
Fractional coordinates of all 4 atoms:
Hg 0.000 0.918 0.000
Tb 0.280 0.696 0.560
Tb 0.500 0.417 0.000
Tb 0.720 0.136 0.440

***

Record 4
Density functional theory data (GGA-PBE) for a relaxed Ac6HIr2Ru crystal.

Volume   323.4 Å³/f.u.
E_tot   -59.27 eV per formula unit
Theoretical density   9493 kg/m³

abc: 7.370 7.370 8.086
angles: 62.86 62.88 59.98
Fractional coordinates of all 10 atoms:
Ac 0.241 0.923 0.252
Ac 0.584 0.241 0.252
Ac 0.746 0.089 0.742
Ac 0.090 0.422 0.742
Ru 0.832 0.832 0.504
Ac 0.923 0.585 0.252
H 0.318 0.319 0.047
Ir 0.504 0.505 0.486
Ir 0.002 0.002 0.995
Ac 0.422 0.745 0.743

***

Record 5
Density functional theory data (GGA-PBE) for a relaxed RbSr3Mn crystal.

Volume   271.7 Å³/f.u.
E_tot   -8.71 eV per formula unit
Polymorph energy (0 for the lowest one)   620.7 meV per atom
Energy of formation from the pure elements   1.29 eV/atom
Theoretical density   2465 kg/m³

abc: 6.476 6.476 6.476
angles: 90.00 90.00 90.00
Fractional coordinates of all 5 atoms:
Sr 0.000 0.000 0.500
Sr 0.500 0.000 0.000
Rb 0.000 0.000 0.000
Mn 0.500 0.500 0.500
Sr 0.000 0.500 0.000

***

Record 6
Density functional theory data (GGA-PBE) for a relaxed In3Hg crystal.

Volume   108.2 Å³/f.u.
E_tot   -8.42 eV per formula unit
Energy of formation from the pure elements   0.03 eV/atom
Theoretical density   8368 kg/m³

abc: 6.189 6.189 6.189
angles: 116.78 116.78 116.78
Fractional coordinates of all 4 atoms:
Hg 0.000 0.000 0.000
In 0.500 0.000 0.500
In 0.000 0.500 0.500
In 0.500 0.500 0.000

***

Record 7
Density functional theory data (GGA-PBE) for a relaxed BeFeCu2 crystal.

Volume   44.2 Å³/f.u.
E_tot   -19.94 eV per formula unit
Energy of formation from the pure elements   0.11 eV/atom
Theoretical density   7208 kg/m³

abc: 4.304 4.304 4.304
angles: 131.17 131.17 71.54
Fractional coordinates of all 4 atoms:
Cu 0.000 0.000 0.000
Be 0.750 0.250 0.500
Fe 0.250 0.750 0.500
Cu 0.500 0.500 0.000

***

Record 8
Density functional theory data (GGA-PBE) for a relaxed TlPtO2 crystal.

Volume   76.5 Å³/f.u.
ΔE_f (raw)   -0.10 eV per atom
E_tot   -18.73 eV per formula unit
Theoretical density   9364 kg/m³

abc: 5.207 5.207 6.738
angles: 67.27 67.27 90.00
Fractional coordinates of all 8 atoms:
O 0.245 0.625 0.250
Tl 0.750 0.250 0.500
Tl 0.000 0.000 0.000
Pt 0.250 0.750 0.500
O 0.375 0.495 0.750
Pt 0.500 0.500 0.000
O 0.505 0.125 0.250
O 0.875 0.755 0.750

***

Record 9
Density functional theory data (GGA-PBE) for a relaxed Cs2HgSb2 crystal.

Volume   225.9 Å³/f.u.
ΔE_f (raw)   -0.23 eV per atom
E_tot   -11.39 eV per formula unit
Polymorph energy (0 for the lowest one)   0.0 meV per atom
Theoretical density   5218 kg/m³

abc: 11.033 11.033 3.712
angles: 90.00 90.00 90.00
Fractional coordinates of all 10 atoms:
Sb 0.590 0.090 0.000
Sb 0.410 0.910 0.000
Cs 0.201 0.701 0.500
Hg 0.000 0.000 0.000
Cs 0.701 0.799 0.500
Cs 0.299 0.201 0.500
Hg 0.500 0.500 0.000
Sb 0.910 0.590 0.000
Cs 0.799 0.299 0.500
Sb 0.090 0.410 0.000

***

Record 10
Density functional theory data (GGA-PBE) for a relaxed NaGaSiP2 crystal.

Volume   111.3 Å³/f.u.
ΔE_f (raw)   0.51 eV per atom
E_tot   -18.05 eV per formula unit
Theoretical density   2726 kg/m³

abc: 4.625 5.204 4.625
angles: 90.00 90.00 90.00
Fractional coordinates of all 5 atoms:
Si 0.000 0.000 0.000
P 0.000 0.000 0.500
Ga 0.500 0.500 0.500
Na 0.000 0.500 0.000
P 0.500 0.000 0.000

***

Record 11
Density functional theory data (GGA-PBE) for a relaxed Be2CoHPt crystal.

Volume   43.8 Å³/f.u.
E_tot   -25.75 eV per formula unit
Theoretical density   10358 kg/m³

abc: 3.798 3.798 3.035
angles: 90.00 90.00 90.00
Fractional coordinates of all 5 atoms:
Be 0.000 0.500 0.000
Co 0.000 0.000 0.500
H 0.000 0.000 0.000
Pt 0.500 0.500 0.500
Be 0.500 0.000 0.000

***

Record 12
Density functional theory data (GGA-PBE) for a relaxed CsTlZnHg2 crystal.

Volume   202.5 Å³/f.u.
E_tot   -4.87 eV per formula unit
Polymorph energy (0 for the lowest one)   93.3 meV per atom
Energy of formation from the pure elements   0.05 eV/atom
Theoretical density   6593 kg/m³

abc: 6.046 6.046 5.538
angles: 90.00 90.00 90.00
Fractional coordinates of all 5 atoms:
Hg 0.000 0.500 0.000
Zn 0.000 0.000 0.500
Tl 0.000 0.000 0.000
Cs 0.500 0.500 0.500
Hg 0.500 0.000 0.000

***

Record 13
Density functional theory data (GGA-PBE) for a relaxed Sr2Ga2Pt crystal.

Volume   133.0 Å³/f.u.
E_tot   -18.46 eV per formula unit
Polymorph energy (0 for the lowest one)   47.3 meV per atom
Energy of formation from the pure elements   -0.60 eV/atom
Theoretical density   6365 kg/m³

abc: 4.393 4.223 7.472
angles: 106.41 90.00 90.00
Fractional coordinates of all 5 atoms:
Ga 0.500 0.300 0.601
Ga 0.500 0.512 0.024
Pt 0.500 0.112 0.224
Sr 0.000 0.682 0.365
Sr 0.000 0.935 0.871

***

Record 14
Density functional theory data (GGA-PBE) for a relaxed DyYAl crystal.

Volume   79.4 Å³/f.u.
E_tot   -15.65 eV per formula unit
Polymorph energy (0 for the lowest one)   0.0 meV per atom
Energy of formation from the pure elements   -0.28 eV/atom
Theoretical density   5824 kg/m³

abc: 5.236 5.236 6.686
angles: 90.00 90.00 120.00
Fractional coordinates of all 6 atoms:
Dy 0.667 0.333 0.250
Al 0.333 0.667 0.250
Dy 0.333 0.667 0.750
Al 0.667 0.333 0.750
Y 0.000 0.000 0.500
Y 0.000 0.000 0.000

***

Record 15
Density functional theory data (GGA-PBE) for a relaxed Li2Ca6Zn crystal.

Volume   297.4 Å³/f.u.
E_tot   -17.47 eV per formula unit
Polymorph energy (0 for the lowest one)   0.0 meV per atom
Energy of formation from the pure elements   -0.04 eV/atom
Theoretical density   1785 kg/m³

abc: 5.469 7.180 8.636
angles: 83.07 71.54 67.61
Fractional coordinates of all 9 atoms:
Li 0.329 0.500 0.841
Ca 0.306 0.210 0.178
Ca 0.362 0.775 0.500
Ca 0.984 0.210 0.822
Ca 0.694 0.790 0.822
Zn 0.000 0.500 0.500
Ca 0.638 0.225 0.500
Ca 0.016 0.790 0.178
Li 0.671 0.500 0.159

***

Record 16
Density functional theory data (GGA-PBE) for a relaxed TbPm2HoTe6 crystal.

Volume   373.3 Å³/f.u.
ΔE_f (raw)   -1.37 eV per atom
E_tot   -51.27 eV per formula unit
Theoretical density   6137 kg/m³

abc: 7.803 7.803 8.390
angles: 62.29 62.29 60.00
Fractional coordinates of all 10 atoms:
Te 0.220 0.930 0.254
Te 0.099 0.427 0.756
Ho 0.324 0.324 0.028
Te 0.427 0.718 0.756
Tb 0.824 0.824 0.529
Pm 0.512 0.512 0.463
Te 0.596 0.220 0.254
Te 0.929 0.596 0.254
Te 0.718 0.098 0.756
Pm 0.012 0.012 0.963

***

Record 17
Density functional theory data (GGA-PBE) for a relaxed SrIn2As crystal.

Volume   111.3 Å³/f.u.
E_tot   -13.28 eV per formula unit
Energy of formation from the pure elements   -0.37 eV/atom
Theoretical density   5849 kg/m³

abc: 6.505 6.505 6.505
angles: 140.30 140.30 57.40
Fractional coordinates of all 4 atoms:
In 0.500 0.500 0.000
As 0.750 0.250 0.500
Sr 0.250 0.750 0.500
In 0.000 0.000 0.000

***

Record 18
Density functional theory data (GGA-PBE) for a relaxed KTe2PdRu crystal.

Volume   151.6 Å³/f.u.
ΔE_f (raw)   0.54 eV per atom
E_tot   -19.17 eV per formula unit
Theoretical density   5496 kg/m³

abc: 5.083 5.867 5.083
angles: 90.00 90.00 90.00
Fractional coordinates of all 5 atoms:
Te 0.000 0.000 0.500
K 0.000 0.500 0.000
Pd 0.500 0.500 0.500
Te 0.500 0.000 0.000
Ru 0.000 0.000 0.000

***

Record 19
Density functional theory data (GGA-PBE) for a relaxed AcS2ClO6 crystal.

Volume   191.7 Å³/f.u.
ΔE_f (raw)   -1.75 eV per atom
E_tot   -61.43 eV per formula unit
Theoretical density   3660 kg/m³

abc: 6.970 6.970 8.880
angles: 108.45 108.45 92.30
Fractional coordinates of all 20 atoms:
O 0.554 0.936 0.782
O 0.508 0.717 0.071
Cl 0.883 0.117 0.250
O 0.936 0.554 0.282
Cl 0.117 0.883 0.750
S 0.089 0.412 0.270
O 0.162 0.396 0.126
Ac 0.441 0.559 0.750
S 0.412 0.089 0.770
O 0.717 0.508 0.571
O 0.064 0.446 0.718
S 0.911 0.588 0.730
Ac 0.559 0.441 0.250
O 0.283 0.492 0.429
O 0.492 0.283 0.929
O 0.396 0.162 0.626
S 0.588 0.911 0.230
O 0.838 0.604 0.874
O 0.604 0.838 0.374
O 0.446 0.064 0.218

***

Record 20
Density functional theory data (GGA-PBE) for a relaxed Ca2Np3N8 crystal.

Volume   206.4 Å³/f.u.
ΔE_f (raw)   -0.87 eV per atom
E_tot   -120.73 eV per formula unit
Theoretical density   7267 kg/m³

abc: 6.853 6.853 10.149
angles: 90.00 90.00 120.00
Fractional coordinates of all 26 atoms:
N 0.844 0.687 0.165
Np 0.834 0.166 0.746
Np 0.166 0.332 0.246
N 0.844 0.156 0.165
Np 0.834 0.668 0.746
N 0.313 0.156 0.165
N 0.940 0.470 0.851
N 0.156 0.313 0.665
N 0.156 0.844 0.665
N 0.470 0.940 0.351
Np 0.668 0.834 0.246
N 0.000 0.000 0.840
N 0.470 0.530 0.351
Np 0.332 0.166 0.746
N 0.530 0.060 0.851
N 0.530 0.470 0.851
Ca 0.667 0.333 0.034
Ca 0.667 0.333 0.389
N 0.687 0.844 0.665
Ca 0.333 0.667 0.534
N 0.000 0.000 0.340
Np 0.166 0.834 0.246
N 0.060 0.530 0.351
N 0.667 0.333 0.642
Ca 0.333 0.667 0.889
N 0.333 0.667 0.142